Compound: LiZnCo4O8
Source: Alexandria
Functional: PBE with a Hubbard U
Structure: optimized geometry

Cell: 7.3647 7.3647 9.3411 Å, 50.88 50.88 22.70°
Atoms (fractional coordinates):
O: 0.8681 0.8681 0.6905
O: 0.1302 0.1302 0.3454
O: 0.4702 0.4702 0.3446
O: 0.8187 0.8187 0.0071
O: 0.7703 0.7703 0.3832
O: 0.5495 0.5495 0.6613
O: 0.1570 0.1570 0.0133
O: 0.2144 0.2144 0.6563
Co: 0.1578 0.1578 0.5167
Co: 0.8568 0.8568 0.4677
Co: 0.3564 0.3564 0.8479
Co: 0.6448 0.6448 0.1830
Li: 0.4996 0.4996 0.5166
Zn: 0.6712 0.6712 0.8468

Space-group type = Cm
Crystal system = monoclinic
Total DFT energy (no corrections) = -5.46 eV per atom